[1]
A geometry-optimized Nd2Ho structure. Source: the Open Quantum Materials Database, functional GGA-PBE.

The structure in CIF format:
```
data_Nd2Ho
_cell_length_a 9.154
_cell_length_b 9.154
_cell_length_c 9.154
_cell_angle_alpha 60.00
_cell_angle_beta 60.00
_cell_angle_gamma 60.00
_symmetry_space_group_name_H-M 'P 1'
_symmetry_Int_Tables_number 1
loop_
_symmetry_equiv_pos_as_xyz
'x,y,z'
loop_
_atom_site_label
_atom_site_fract_x
_atom_site_fract_y
_atom_site_fract_z
Ho1 0.000 0.000 0.000
Ho2 0.250 0.250 0.250
Nd1 0.125 0.125 0.125
Nd2 0.625 0.125 0.125
Nd3 0.125 0.625 0.125
Nd4 0.125 0.125 0.625
```

* VASP energy: -0.182 Ry per atom
* energy above the lowest structure with this stoichiometry: 1.9656 eV/atom
* space-group type: Fd-3m
* DFT formation energy: 2227 meV/atom

[2]
A geometry-optimized NdHoNi4 structure. Source: the Open Quantum Materials Database, functional GGA-PBE.

The structure in CIF format:
```
data_NdHoNi4
_cell_length_a 5.105
_cell_length_b 5.105
_cell_length_c 5.105
_cell_angle_alpha 60.00
_cell_angle_beta 60.00
_cell_angle_gamma 60.00
_symmetry_space_group_name_H-M 'P 1'
_symmetry_Int_Tables_number 1
loop_
_symmetry_equiv_pos_as_xyz
'x,y,z'
loop_
_atom_site_label
_atom_site_fract_x
_atom_site_fract_y
_atom_site_fract_z
Ho1 0.250 0.250 0.250
Nd1 0.500 0.500 0.500
Ni1 0.876 0.876 0.373
Ni2 0.876 0.373 0.876
Ni3 0.373 0.876 0.876
Ni4 0.876 0.876 0.876
```

* VASP energy: -0.416 Ry per atom
* energy above the lowest structure with this stoichiometry: 0.0000 eV/atom
* space-group type: F-43m
* DFT formation energy: -389 meV/atom